(1)
The following is a DFT calculation (PBE) of a geometry-optimized Na2Ca5TiSi4O16F2 structure.

The structure in POSCAR format:
```
Na2Ca5TiSi4O16F2
1.0
7.403 0.000 0.000
0.000 5.720 0.000
-3.697 0.000 18.836
Na Ca Ti Si O F
4 10 2 8 32 4
Direct
0.004 0.000 0.255
0.492 0.006 0.251
0.508 0.506 0.749
0.996 0.500 0.745
0.149 0.178 0.053
0.157 0.341 0.558
0.252 0.001 0.749
0.341 0.664 0.936
0.347 0.840 0.441
0.653 0.340 0.559
0.659 0.164 0.064
0.748 0.501 0.251
0.843 0.841 0.442
0.851 0.678 0.947
0.252 0.534 0.262
0.748 0.034 0.738
0.040 0.344 0.392
0.102 0.161 0.887
0.397 0.846 0.610
0.457 0.661 0.108
0.543 0.161 0.892
0.603 0.346 0.390
0.898 0.661 0.113
0.960 0.844 0.608
0.019 0.631 0.194
0.077 0.410 0.924
0.090 0.358 0.312
0.094 0.945 0.941
0.097 0.102 0.434
0.103 0.569 0.442
0.189 0.852 0.632
0.232 0.260 0.181
0.281 0.795 0.309
0.313 0.153 0.867
0.398 0.455 0.050
0.401 0.921 0.078
0.403 0.613 0.187
0.411 0.069 0.559
0.416 0.602 0.570
0.477 0.367 0.310
0.523 0.867 0.690
0.584 0.102 0.430
0.589 0.569 0.441
0.597 0.113 0.813
0.599 0.421 0.922
0.602 0.955 0.950
0.687 0.653 0.133
0.719 0.295 0.691
0.768 0.760 0.819
0.811 0.352 0.368
0.897 0.069 0.558
0.903 0.602 0.566
0.906 0.445 0.059
0.910 0.858 0.688
0.923 0.910 0.076
0.981 0.131 0.806
0.223 0.335 0.687
0.277 0.666 0.810
0.723 0.166 0.190
0.777 0.835 0.313
```

Space-group type: P2_1, No. 4
Excess energy over the best structure of this formula in the dataset in eV/atom: 0.012
Spin magnetization in μB per formula unit: 1.9
Formation energy from raw total energies in eV per formula unit: -84.99

---

(2)
The following is a DFT calculation (PBE) of a geometry-optimized Na2Ca5TiSi4O16F2 structure.

The structure in POSCAR format:
```
Na2Ca5TiSi4O16F2
1.0
5.768 0.000 0.000
-0.025 7.442 0.000
-1.981 -1.857 9.428
Na Ca Ti Si O F
2 5 1 4 16 2
Direct
0.000 0.000 0.000
0.499 0.231 0.995
0.282 0.829 0.356
0.294 0.331 0.350
0.701 0.148 0.635
0.706 0.650 0.627
0.992 0.499 0.989
0.481 0.752 0.008
0.245 0.956 0.718
0.247 0.387 0.707
0.749 0.525 0.273
0.756 0.092 0.279
0.029 0.574 0.336
0.036 0.079 0.344
0.243 0.756 0.102
0.293 0.183 0.751
0.324 0.912 0.880
0.330 0.527 0.863
0.417 0.879 0.610
0.421 0.403 0.598
0.571 0.601 0.377
0.575 0.070 0.384
0.678 0.574 0.114
0.682 0.957 0.121
0.701 0.297 0.238
0.719 0.687 0.874
0.964 0.905 0.661
0.965 0.408 0.654
0.191 0.287 0.106
0.802 0.223 0.879
```

Space-group type: P1, No. 1
Excess energy over the best structure of this formula in the dataset in eV/atom: 0.000
Spin magnetization in μB per formula unit: 2.1
Formation energy from raw total energies in eV per formula unit: -85.34

---

(3)
The following is a DFT calculation (PBE) of a geometry-optimized Na2Ca5TiSi4O16F2 structure.

The structure in POSCAR format:
```
Na2Ca5TiSi4O16F2
1.0
5.810 0.000 0.000
-0.004 7.427 0.000
-2.003 -1.866 9.399
Na Ca Ti Si O F
2 5 1 4 16 2
Direct
0.000 0.000 0.000
0.207 0.908 0.647
0.012 0.495 0.001
0.394 0.826 0.286
0.407 0.323 0.286
0.703 0.647 0.635
0.716 0.176 0.663
0.205 0.409 0.639
0.465 0.197 0.921
0.469 0.761 0.930
0.941 0.061 0.357
0.944 0.629 0.366
0.003 0.197 0.516
0.041 0.583 0.527
0.107 0.547 0.255
0.126 0.085 0.258
0.306 0.731 0.040
0.320 0.290 0.038
0.356 0.232 0.759
0.394 0.633 0.769
0.425 0.971 0.899
0.454 0.377 0.543
0.662 0.072 0.292
0.662 0.585 0.329
0.744 0.248 0.944
0.748 0.732 0.985
0.957 0.446 0.749
0.999 0.855 0.399
0.510 0.894 0.535
0.895 0.926 0.746
```

Space-group type: P1, No. 1
Excess energy over the best structure of this formula in the dataset in eV/atom: 0.010
Spin magnetization in μB per formula unit: 2.2
Formation energy from raw total energies in eV per formula unit: -85.05

---

(4)
The following is a DFT calculation (PBE) of a geometry-optimized Na4CaZr2TiSi4O16F2 structure.

The structure in POSCAR format:
```
Na4CaZr2TiSi4O16F2
1.0
5.715 0.000 0.000
0.000 7.199 0.000
-4.150 0.000 18.269
Na Ca Zr Ti Si O F
8 2 4 2 8 32 4
Direct
0.000 0.123 0.250
0.000 0.877 0.750
0.209 0.115 0.070
0.209 0.885 0.570
0.500 0.357 0.250
0.500 0.643 0.750
0.791 0.115 0.430
0.791 0.885 0.930
0.500 0.140 0.750
0.500 0.860 0.250
0.201 0.381 0.575
0.201 0.619 0.075
0.799 0.381 0.925
0.799 0.619 0.425
0.000 0.391 0.750
0.000 0.609 0.250
0.267 0.114 0.895
0.267 0.886 0.395
0.278 0.342 0.395
0.278 0.658 0.895
0.722 0.342 0.105
0.722 0.658 0.605
0.733 0.114 0.605
0.733 0.886 0.105
0.072 0.174 0.942
0.072 0.826 0.442
0.098 0.409 0.449
0.098 0.591 0.949
0.181 0.416 0.311
0.181 0.584 0.811
0.192 0.188 0.810
0.192 0.812 0.310
0.228 0.378 0.685
0.228 0.622 0.185
0.263 0.115 0.390
0.263 0.885 0.890
0.443 0.403 0.077
0.443 0.597 0.577
0.454 0.178 0.571
0.454 0.822 0.071
0.546 0.178 0.929
0.546 0.822 0.429
0.557 0.403 0.423
0.557 0.597 0.923
0.737 0.115 0.110
0.737 0.885 0.610
0.772 0.378 0.815
0.772 0.622 0.315
0.808 0.188 0.690
0.808 0.812 0.190
0.819 0.416 0.189
0.819 0.584 0.689
0.902 0.409 0.051
0.902 0.591 0.551
0.928 0.174 0.558
0.928 0.826 0.058
0.296 0.101 0.191
0.296 0.899 0.691
0.704 0.101 0.309
0.704 0.899 0.809
```

Space-group type: P2/c, No. 13
Spin magnetization in μB per formula unit: 0.0
Formation energy from raw total energies in eV per formula unit: -86.93

---

(5)
The following is a DFT calculation (PBE) of a geometry-optimized Na2CaPF structure.

The structure in POSCAR format:
```
Na2CaPF
1.0
4.400 0.000 0.000
0.000 4.400 0.000
0.000 0.000 4.857
Na Ca P F
2 1 1 1
Direct
0.000 0.500 0.000
0.500 0.000 0.000
0.000 0.000 0.500
0.500 0.500 0.500
0.000 0.000 0.000
```

Space-group type: P4/mmm, No. 123
Spin magnetization in μB per formula unit: 0.0
Formation energy from raw total energies in eV per formula unit: -7.48

---

(6)
The following is a DFT calculation (PBE) of a geometry-optimized NaCaPbF2 structure.

The structure in POSCAR format:
```
NaCaPbF2
1.0
4.872 0.000 0.000
0.000 4.872 0.000
0.000 0.000 6.096
Na Ca Pb F
1 1 1 2
Direct
0.000 0.000 0.000
0.500 0.500 0.000
0.000 0.000 0.500
0.000 0.500 0.500
0.500 0.000 0.500
```

Space-group type: P4/mmm, No. 123
Spin magnetization in μB per formula unit: 0.0
Formation energy from raw total energies in eV per formula unit: -5.64

---

(7)
The following is a DFT calculation (PBE) of a geometry-optimized NaCa2PbF structure.

The structure in POSCAR format:
```
NaCa2PbF
1.0
5.023 0.000 0.000
0.000 5.023 0.000
0.000 0.000 4.720
Na Ca Pb F
1 2 1 1
Direct
0.000 0.000 0.000
0.000 0.500 0.500
0.500 0.000 0.500
0.500 0.500 0.000
0.000 0.000 0.500
```

Space-group type: P4/mmm, No. 123
Spin magnetization in μB per formula unit: 0.0
Formation energy from raw total energies in eV per formula unit: -6.91

---

(8)
The following is a DFT calculation (PBE) of a geometry-optimized NaCa2PbF8 structure.

The structure in POSCAR format:
```
NaCa2PbF8
1.0
4.003 0.000 0.000
0.000 5.545 0.000
0.000 0.000 7.842
Na Ca Pb F
1 2 1 8
Direct
0.000 0.000 0.000
0.500 0.500 0.231
0.500 0.500 0.769
0.000 0.000 0.500
0.000 0.258 0.264
0.000 0.258 0.736
0.000 0.742 0.264
0.000 0.742 0.736
0.500 0.243 0.500
0.500 0.258 0.000
0.500 0.742 0.000
0.500 0.757 0.500
```

Space-group type: Pmmm, No. 47
Spin magnetization in μB per formula unit: 0.0
Formation energy from raw total energies in eV per formula unit: -37.16

---

(9)
The following is a DFT calculation (PBE) of a geometry-optimized Na2CaPdF8 structure.

The structure in POSCAR format:
```
Na2CaPdF8
1.0
5.169 0.000 0.000
-2.584 4.476 0.000
0.000 0.000 6.962
Na Ca Pd F
2 1 1 8
Direct
0.333 0.667 0.317
0.667 0.333 0.683
0.000 0.000 0.000
0.000 0.000 0.500
0.165 0.330 0.683
0.165 0.835 0.683
0.330 0.165 0.317
0.333 0.667 0.016
0.667 0.333 0.984
0.670 0.835 0.683
0.835 0.165 0.317
0.835 0.670 0.317
```

Space-group type: P-3m1, No. 164
Spin magnetization in μB per formula unit: 0.0
Formation energy from raw total energies in eV per formula unit: -26.59

---

(10)
The following is a DFT calculation (PBE) of a geometry-optimized NaCaPd2F8 structure.

The structure in POSCAR format:
```
NaCaPd2F8
1.0
-2.694 2.694 5.382
2.694 -2.694 5.382
2.694 2.694 -5.382
Na Ca Pd F
1 1 2 8
Direct
0.000 0.000 0.000
0.750 0.250 0.500
0.250 0.750 0.500
0.500 0.500 0.000
0.138 0.126 0.517
0.138 0.621 0.012
0.379 0.390 0.517
0.379 0.862 0.988
0.610 0.126 0.988
0.610 0.621 0.483
0.874 0.390 0.012
0.874 0.862 0.483
```

Space-group type: I-4m2, No. 119
Spin magnetization in μB per formula unit: 5.0
Formation energy from raw total energies in eV per formula unit: -24.27

---

(11)
The following is a DFT calculation (PBE) of a geometry-optimized NaCaPdF6 structure.

The structure in POSCAR format:
```
NaCaPdF6
1.0
5.764 0.000 0.000
-2.882 4.992 0.000
0.000 0.000 9.437
Na Ca Pd F
2 2 2 12
Direct
0.000 0.000 0.000
0.000 0.000 0.500
0.333 0.667 0.250
0.667 0.333 0.750
0.333 0.667 0.750
0.667 0.333 0.250
0.029 0.365 0.633
0.029 0.664 0.867
0.336 0.365 0.867
0.336 0.971 0.633
0.365 0.029 0.133
0.365 0.336 0.367
0.635 0.664 0.633
0.635 0.971 0.867
0.664 0.029 0.367
0.664 0.635 0.133
0.971 0.336 0.133
0.971 0.635 0.367
```

Space-group type: P-31c, No. 163
Spin magnetization in μB per formula unit: 1.0
Formation energy from raw total energies in eV per formula unit: -22.09

---

(12)
The following is a DFT calculation (PBE) of a geometry-optimized Na2CaPmF8 structure.

The structure in POSCAR format:
```
Na2CaPmF8
1.0
3.988 0.000 0.000
0.000 5.392 0.000
0.000 0.000 7.966
Na Ca Pm F
2 1 1 8
Direct
0.000 0.000 0.247
0.000 0.000 0.753
0.500 0.500 0.000
0.500 0.500 0.500
0.000 0.260 0.500
0.000 0.265 0.000
0.000 0.735 0.000
0.000 0.740 0.500
0.500 0.260 0.253
0.500 0.260 0.747
0.500 0.740 0.253
0.500 0.740 0.747
```

Space-group type: Pmmm, No. 47
Spin magnetization in μB per formula unit: 1.0
Formation energy from raw total energies in eV per formula unit: -39.02